# Li2FeP2O7, optimized geometry, DFT PBE+U
# ΔE to the lowest computed polymorph ... 104 meV per atom
# Spin magnetization ... 1.000 μB/f.u.
# N(E_F) ... 0.000 states/eV/atom
# V ... 12.6 Å³ per atom
data_Li2FeP2O7
_chemical_formula_sum 'Li16 Fe8 P16 O56'
_cell_length_a 8.037
_cell_length_b 18.181
_cell_length_c 8.296
_cell_angle_alpha 90.00
_cell_angle_beta 94.58
_cell_angle_gamma 90.00
_space_group_name_H-M_alt 'P 1 21 1'
_space_group_IT_number 4
loop_
_space_group_symop_operation_xyz
'x,y,z'
'-x,y+1/2,-z'
loop_
_atom_site_label
_atom_site_fract_x
_atom_site_fract_y
_atom_site_fract_z
Li1 0.078 0.000 0.135
Li2 0.099 0.631 0.266
Li3 0.158 0.883 0.477
Li4 0.207 0.265 0.002
Li5 0.316 0.974 0.909
Li6 0.376 0.510 0.021
Li7 0.377 0.189 0.263
Li8 0.399 0.760 0.959
Fe1 0.107 0.291 0.395
Fe2 0.107 0.544 0.577
Fe3 0.409 0.539 0.384
Fe4 0.446 0.292 0.575
P1 0.045 0.667 0.866
P2 0.056 0.455 0.226
P3 0.135 0.378 0.757
P4 0.248 0.127 0.576
P5 0.253 0.714 0.592
P6 0.378 0.382 0.203
P7 0.461 0.453 0.735
P8 0.468 0.161 0.860
O1 0.013 0.439 0.685
O2 0.017 0.896 0.669
O3 0.021 0.590 0.791
O4 0.064 0.336 0.890
O5 0.066 0.106 0.564
O6 0.074 0.984 0.902
O7 0.086 0.668 0.045
O8 0.101 0.220 0.190
O9 0.129 0.770 0.517
O10 0.152 0.517 0.325
O11 0.201 0.330 0.626
O12 0.204 0.421 0.127
O13 0.210 0.702 0.783
O14 0.248 0.640 0.504
O15 0.280 0.199 0.484
O16 0.285 0.145 0.768
O17 0.303 0.423 0.831
O18 0.332 0.348 0.361
O19 0.362 0.066 0.529
O20 0.365 0.503 0.608
O21 0.424 0.327 0.078
O22 0.424 0.593 0.165
O23 0.429 0.745 0.616
O24 0.434 0.174 0.036
O25 0.437 0.993 0.128
O26 0.444 0.891 0.340
O27 0.462 0.731 0.213
O28 0.500 0.448 0.225

---

# LiFeP2O7, optimized geometry, DFT PBE+U
# ΔE to the lowest computed polymorph ... 36 meV per atom
# Spin magnetization ... 5.003 μB/f.u.
# N(E_F) ... 0.000 states/eV/atom
# V ... 11.4 Å³ per atom
data_LiFeP2O7
_chemical_formula_sum 'Li4 Fe4 P8 O28'
_cell_length_a 6.717
_cell_length_b 8.368
_cell_length_c 9.199
_cell_angle_alpha 90.00
_cell_angle_beta 104.24
_cell_angle_gamma 90.00
_space_group_name_H-M_alt 'P 1 21/m 1'
_space_group_IT_number 11
loop_
_space_group_symop_operation_xyz
'x,y,z'
'-x,-y,-z'
'-x,y+1/2,-z'
'x,-y+1/2,z'
loop_
_atom_site_label
_atom_site_fract_x
_atom_site_fract_y
_atom_site_fract_z
Li1 0.237 0.077 0.251
Fe1 0.251 0.060 0.750
P1 0.002 0.750 0.058
P2 0.079 0.750 0.526
P3 0.421 0.750 0.975
P4 0.497 0.250 0.554
O1 0.018 0.096 0.852
O2 0.083 0.600 0.620
O3 0.112 0.250 0.609
O4 0.122 0.250 0.103
O5 0.244 0.750 0.062
O6 0.261 0.750 0.445
O7 0.369 0.250 0.395
O8 0.385 0.250 0.892
O9 0.413 0.600 0.882
O10 0.479 0.096 0.645

---

# LiFeP3O9, optimized geometry, DFT PBE+U
# ΔE to the lowest computed polymorph ... 0 meV per atom
# Spin magnetization ... 4.000 μB/f.u.
# N(E_F) ... 0.000 states/eV/atom
# V ... 12.9 Å³ per atom
data_LiFeP3O9
_chemical_formula_sum 'Li4 Fe4 P12 O36'
_cell_length_a 9.491
_cell_length_b 9.546
_cell_length_c 9.764
_cell_angle_alpha 109.46
_cell_angle_beta 104.74
_cell_angle_gamma 108.50
_space_group_name_H-M_alt 'P -1'
_space_group_IT_number 2
loop_
_space_group_symop_operation_xyz
'x,y,z'
'-x,-y,-z'
loop_
_atom_site_label
_atom_site_fract_x
_atom_site_fract_y
_atom_site_fract_z
Li1 0.144 0.352 0.169
Li2 0.151 0.569 0.995
Fe1 0.247 0.733 0.773
Fe2 0.399 0.199 0.289
P1 0.008 0.650 0.393
P2 0.066 0.835 0.204
P3 0.196 0.073 0.912
P4 0.315 0.415 0.581
P5 0.442 0.709 0.334
P6 0.496 0.887 0.143
O1 0.001 0.675 0.055
O2 0.056 0.513 0.753
O3 0.077 0.108 0.794
O4 0.092 0.802 0.358
O5 0.125 0.679 0.545
O6 0.136 0.890 0.860
O7 0.142 0.317 0.580
O8 0.218 0.975 0.241
O9 0.233 0.185 0.082
O10 0.284 0.576 0.200
O11 0.304 0.360 0.414
O12 0.344 0.751 0.002
O13 0.354 0.146 0.878
O14 0.382 0.599 0.686
O15 0.415 0.346 0.677
O16 0.453 0.772 0.499
O17 0.472 0.937 0.822
O18 0.499 0.132 0.701

---

# Li2FeP2O7, optimized geometry, DFT PBE+U
# ΔE to the lowest computed polymorph ... 24 meV per atom
# Spin magnetization ... 4.000 μB/f.u.
# N(E_F) ... 0.000 states/eV/atom
# V ... 11.4 Å³ per atom
data_Li2FeP2O7
_chemical_formula_sum 'Li8 Fe4 P8 O28'
_cell_length_a 8.157
_cell_length_b 5.093
_cell_length_c 14.183
_cell_angle_alpha 90.00
_cell_angle_beta 111.53
_cell_angle_gamma 90.00
_space_group_name_H-M_alt 'P 1 21/c 1'
_space_group_IT_number 14
loop_
_space_group_symop_operation_xyz
'x,y,z'
'-x,-y,-z'
'-x,y+1/2,-z+1/2'
'x,-y+1/2,z+1/2'
loop_
_atom_site_label
_atom_site_fract_x
_atom_site_fract_y
_atom_site_fract_z
Li1 0.024 0.158 0.168
Li2 0.430 0.241 0.147
Fe1 0.278 0.239 0.370
P1 0.188 0.683 0.200
P2 0.298 0.744 0.026
O1 0.001 0.725 0.201
O2 0.160 0.722 0.586
O3 0.207 0.605 0.429
O4 0.240 0.108 0.709
O5 0.318 0.051 0.512
O6 0.322 0.635 0.775
O7 0.469 0.628 0.598

---

# Li2FeP4O12, optimized geometry, DFT PBE+U
# ΔE to the lowest computed polymorph ... 21 meV per atom
# Spin magnetization ... 4.005 μB/f.u.
# N(E_F) ... 0.000 states/eV/atom
# V ... 13.1 Å³ per atom
data_Li2FeP4O12
_chemical_formula_sum 'Li2 Fe1 P4 O12'
_cell_length_a 5.411
_cell_length_b 7.152
_cell_length_c 7.255
_cell_angle_alpha 109.79
_cell_angle_beta 93.06
_cell_angle_gamma 106.90
_space_group_name_H-M_alt 'P -1'
_space_group_IT_number 2
loop_
_space_group_symop_operation_xyz
'x,y,z'
'-x,-y,-z'
loop_
_atom_site_label
_atom_site_fract_x
_atom_site_fract_y
_atom_site_fract_z
Li1 0.134 0.222 0.054
Fe1 0.500 0.500 0.500
P1 0.187 0.714 0.290
P2 0.364 0.927 0.728
O1 0.054 0.313 0.836
O2 0.188 0.941 0.879
O3 0.194 0.870 0.514
O4 0.238 0.518 0.300
O5 0.448 0.837 0.225
O6 0.474 0.219 0.297

---

# LiFeP2O7, optimized geometry, DFT PBE+U
# ΔE to the lowest computed polymorph ... 95 meV per atom
# Spin magnetization ... 4.956 μB/f.u.
# N(E_F) ... 0.000 states/eV/atom
# V ... 13.9 Å³ per atom
data_LiFeP2O7
_chemical_formula_sum 'Li2 Fe2 P4 O14'
_cell_length_a 4.958
_cell_length_b 8.024
_cell_length_c 8.783
_cell_angle_alpha 112.47
_cell_angle_beta 90.13
_cell_angle_gamma 106.91
_space_group_name_H-M_alt 'P 1'
_space_group_IT_number 1
loop_
_space_group_symop_operation_xyz
'x,y,z'
loop_
_atom_site_label
_atom_site_fract_x
_atom_site_fract_y
_atom_site_fract_z
Li1 0.000 0.000 0.000
Li2 0.394 0.988 0.507
Fe1 0.230 0.434 0.150
Fe2 0.565 0.414 0.643
P1 0.171 0.621 0.899
P2 0.612 0.203 0.251
P3 0.808 0.618 0.391
P4 0.979 0.204 0.747
O1 0.078 0.230 0.924
O2 0.080 0.772 0.879
O3 0.090 0.763 0.426
O4 0.157 0.612 0.070
O5 0.230 0.207 0.643
O6 0.344 0.232 0.187
O7 0.443 0.589 0.829
O8 0.584 0.621 0.272
O9 0.591 0.206 0.428
O10 0.675 0.588 0.540
O11 0.704 0.047 0.133
O12 0.710 0.049 0.666
O13 0.874 0.409 0.281
O14 0.915 0.410 0.774

---

# Li2FeP2O7, optimized geometry, DFT PBE+U
# ΔE to the lowest computed polymorph ... 26 meV per atom
# Spin magnetization ... 4.000 μB/f.u.
# N(E_F) ... 0.000 states/eV/atom
# V ... 12.5 Å³ per atom
data_Li2FeP2O7
_chemical_formula_sum 'Li4 Fe2 P4 O14'
_cell_length_a 5.079
_cell_length_b 5.129
_cell_length_c 13.564
_cell_angle_alpha 79.39
_cell_angle_beta 79.34
_cell_angle_gamma 60.40
_space_group_name_H-M_alt 'P -1'
_space_group_IT_number 2
loop_
_space_group_symop_operation_xyz
'x,y,z'
'-x,-y,-z'
loop_
_atom_site_label
_atom_site_fract_x
_atom_site_fract_y
_atom_site_fract_z
Li1 0.126 0.136 0.103
Li2 0.364 0.365 0.397
Fe1 0.000 0.000 0.500
Fe2 0.500 0.500 0.000
P1 0.210 0.209 0.870
P2 0.290 0.290 0.630
O1 0.027 0.281 0.593
O2 0.099 0.783 0.093
O3 0.225 0.474 0.901
O4 0.229 0.252 0.750
O5 0.285 0.596 0.599
O6 0.399 0.975 0.400
O7 0.479 0.903 0.901

---

# LiFeP2O7, optimized geometry, DFT PBE+U
# ΔE to the lowest computed polymorph ... 63 meV per atom
# Spin magnetization ... 4.963 μB/f.u.
# N(E_F) ... 0.000 states/eV/atom
# V ... 13.9 Å³ per atom
data_LiFeP2O7
_chemical_formula_sum 'Li2 Fe2 P4 O14'
_cell_length_a 5.311
_cell_length_b 8.874
_cell_length_c 6.999
_cell_angle_alpha 90.00
_cell_angle_beta 111.86
_cell_angle_gamma 90.00
_space_group_name_H-M_alt 'P 1 21 1'
_space_group_IT_number 4
loop_
_space_group_symop_operation_xyz
'x,y,z'
'-x,y+1/2,-z'
loop_
_atom_site_label
_atom_site_fract_x
_atom_site_fract_y
_atom_site_fract_z
Li1 0.114 0.000 0.334
Fe1 0.081 0.120 0.855
P1 0.294 0.674 0.513
P2 0.296 0.768 0.929
O1 0.071 0.548 0.447
O2 0.109 0.640 0.948
O3 0.185 0.780 0.322
O4 0.212 0.925 0.971
O5 0.253 0.773 0.692
O6 0.405 0.238 0.942
O7 0.420 0.123 0.421

---

# Li2FeP2O7, optimized geometry, DFT PBE+U
# ΔE to the lowest computed polymorph ... 36 meV per atom
# Spin magnetization ... 4.000 μB/f.u.
# N(E_F) ... 0.000 states/eV/atom
# V ... 12.8 Å³ per atom
data_Li2FeP2O7
_chemical_formula_sum 'Li4 Fe2 P4 O14'
_cell_length_a 5.534
_cell_length_b 7.339
_cell_length_c 7.621
_cell_angle_alpha 90.07
_cell_angle_beta 90.13
_cell_angle_gamma 96.09
_space_group_name_H-M_alt 'P 1'
_space_group_IT_number 1
loop_
_space_group_symop_operation_xyz
'x,y,z'
loop_
_atom_site_label
_atom_site_fract_x
_atom_site_fract_y
_atom_site_fract_z
Li1 0.000 0.000 0.000
Li2 0.007 0.286 0.666
Li3 0.274 0.560 0.165
Li4 0.283 0.846 0.500
Fe1 0.573 0.216 0.886
Fe2 0.708 0.629 0.386
P1 0.485 0.295 0.485
P2 0.508 0.002 0.201
P3 0.776 0.842 0.700
P4 0.796 0.551 0.985
O1 0.340 0.051 0.048
O2 0.356 0.251 0.660
O3 0.379 0.447 0.380
O4 0.421 0.101 0.379
O5 0.456 0.801 0.259
O6 0.517 0.772 0.656
O7 0.521 0.500 0.996
O8 0.759 0.348 0.498
O9 0.768 0.071 0.158
O10 0.827 0.043 0.759
O11 0.863 0.743 0.879
O12 0.902 0.398 0.883
O13 0.923 0.595 0.162
O14 0.944 0.793 0.548

---

# LiFe2P2O8, optimized geometry, DFT PBE+U
# ΔE to the lowest computed polymorph ... 24 meV per atom
# Spin magnetization ... 9.000 μB/f.u.
# V ... 14.3 Å³ per atom
data_LiFe2P2O8
_chemical_formula_sum 'Li2 Fe4 P4 O16'
_cell_length_a 6.934
_cell_length_b 7.766
_cell_length_c 6.931
_cell_angle_alpha 90.00
_cell_angle_beta 91.62
_cell_angle_gamma 90.00
_space_group_name_H-M_alt 'C 1 2 1'
_space_group_IT_number 5
loop_
_space_group_symop_operation_xyz
'x,y,z'
'-x,y,-z'
'x+1/2,y+1/2,z'
'-x+1/2,y+1/2,-z'
loop_
_atom_site_label
_atom_site_fract_x
_atom_site_fract_y
_atom_site_fract_z
Li1 0.000 0.000 0.000
Fe1 0.000 0.011 0.500
Fe2 0.000 0.498 0.000
P1 0.246 0.749 0.751
O1 0.063 0.641 0.794
O2 0.072 0.133 0.246
O3 0.219 0.846 0.561
O4 0.234 0.380 0.073